[1]
4
Lattice="-2.440 -0.882 -1.199 1.488 -1.474 -1.945 -0.050 -6.223 4.678" Properties=species:S:1:pos:R:3 comment="ZnAg2Au, relaxed, DFT GGA-PBEsol" dos_at_fermi_per_ev_cell=1.08 formation_enthalpy_0k_ev_per_atom=-0.06 pbc="T T T"
Zn -0.501 -4.289 0.767
Au -0.476 -1.178 -1.572
Ag -0.037 -4.573 3.438
Ag -0.013 -1.650 1.240


[2]
4
Lattice="4.145 0.000 0.000 2.073 3.590 0.000 2.073 1.197 3.385" Properties=species:S:1:pos:R:3 comment="ZrBe2Os, relaxed, DFT GGA-PBEsol" de_polymorph_mev_per_atom=0 dos_at_fermi_per_ev_cell=2.40 formation_enthalpy_0k_ev_per_atom=-0.20 pbc="T T T"
Be 2.073 1.197 0.846
Be 6.218 3.590 2.539
Os 0.000 0.000 0.000
Zr 4.145 2.393 1.692


[3]
4
Lattice="3.081 0.000 0.000 0.000 3.930 0.000 0.000 0.000 6.404" Properties=species:S:1:pos:R:3 comment="CaScSi2, relaxed, DFT GGA-PBEsol" de_polymorph_mev_per_atom=0 dos_at_fermi_per_ev_cell=2.52 e_form_raw_ev_per_atom=-0.52 pbc="T T T"
Ca 1.541 1.965 0.000
Sc 1.541 1.965 3.202
Si 0.000 0.000 4.490
Si 0.000 0.000 1.914


[4]
3
Lattice="-3.094 -2.226 -1.933 0.991 -3.390 -2.408 -0.964 -3.938 1.354" Properties=species:S:1:pos:R:3 comment="MgTaP, relaxed, DFT GGA-PBEsol" dos_at_fermi_per_ev_cell=3.83 formation_enthalpy_0k_ev_per_atom=1.15 pbc="T T T"
P 0.000 0.000 0.000
Mg -0.767 -2.388 -0.747
Ta -1.534 -4.777 -1.493


[5]
44
Lattice="-2.531 1.386 2.435 -8.712 -3.690 -6.954 -0.312 -18.460 10.186" Properties=species:S:1:pos:R:3 comment="Er4In5S13, relaxed, DFT GGA-PBEsol" dos_at_fermi_per_ev_cell=6.96 e_form_raw_ev_per_atom=-1.23 pbc="T T T"
Er -6.015 -8.767 -1.261
Er -3.008 -13.383 4.493
Er -7.420 -18.526 2.836
Er -1.604 -3.624 0.396
Er -4.564 -5.124 -1.827
Er -4.459 -17.027 5.059
Er -8.768 -16.068 0.035
Er -0.256 -6.082 3.197
In -4.512 -11.075 1.616
In 0.000 0.000 0.000
In -8.790 -11.505 0.341
In -2.764 -9.259 5.326
In -7.271 -20.026 6.771
In -4.283 -0.739 -1.104
In -8.651 -5.502 -2.932
In -2.903 -15.262 8.599
In -7.207 -14.054 3.438
In -4.347 -6.710 2.229
S -8.814 -9.174 -1.011
S -2.740 -11.590 6.677
S -7.167 -17.641 5.521
S -4.387 -3.124 0.146
S -6.464 -6.298 -0.206
S -5.090 -14.466 5.873
S -9.453 -16.728 2.626
S -2.101 -4.036 3.041
S -5.808 -8.672 1.828
S -5.746 -12.092 3.839
S -10.199 -19.696 3.540
S -1.355 -1.068 2.127
S -6.285 -11.302 -0.098
S -2.738 -10.848 3.330
S -7.232 -20.867 4.364
S -1.791 -1.283 -1.131
S -7.369 -7.546 -3.363
S -1.654 -14.605 6.596
S -6.005 -16.132 2.943
S -3.019 -6.018 0.289
S -6.991 -3.828 -2.160
S -4.563 -16.937 7.827
S -8.834 -13.772 1.586
S -2.720 -6.992 4.081
S -0.156 -9.230 5.093
S -4.356 -1.845 -3.477


[6]
5
Lattice="4.166 0.000 0.000 0.000 4.166 0.000 0.000 0.000 4.166" Properties=species:S:1:pos:R:3 comment="SiNi3F, relaxed, DFT GGA-PBEsol" dos_at_fermi_per_ev_cell=9.88 e_form_raw_ev_per_atom=0.50 pbc="T T T"
Ni 0.000 2.083 0.000
Ni 0.000 0.000 2.083
Ni 2.083 0.000 0.000
Si 0.000 0.000 0.000
F 2.083 2.083 2.083


[7]
4
Lattice="3.861 0.000 0.000 0.000 5.293 0.000 0.000 0.000 5.293" Properties=species:S:1:pos:R:3 comment="Ca2AlTe, relaxed, DFT GGA-PBEsol" de_polymorph_mev_per_atom=19 dos_at_fermi_per_ev_cell=2.30 e_form_raw_ev_per_atom=-0.62 pbc="T T T"
Ca 0.000 0.000 2.647
Ca 0.000 2.647 0.000
Te 1.931 2.647 2.647
Al 1.931 0.000 0.000


[8]
9
Lattice="-0.150 2.667 6.387 -6.068 1.402 3.023 -2.194 -3.859 5.312" Properties=species:S:1:pos:R:3 comment="K2TaCl6, relaxed, DFT GGA-PBEsol" dos_at_fermi_per_ev_cell=5.00 e_form_raw_ev_per_atom=-1.60 pbc="T T T"
K -2.103 0.052 3.680
K -6.309 0.157 11.041
Ta 0.000 0.000 0.000
Cl -5.234 2.131 8.408
Cl -3.178 -1.921 6.314
Cl -3.255 -0.558 9.578
Cl -5.158 0.768 5.144
Cl -2.133 1.414 6.863
Cl -6.279 -1.205 7.859


[9]
4
Lattice="3.412 0.000 0.000 1.706 2.955 0.000 1.706 0.985 9.872" Properties=species:S:1:pos:R:3 comment="SrSc2Be, relaxed, DFT GGA-PBEsol" dos_at_fermi_per_ev_cell=5.74 formation_enthalpy_0k_ev_per_atom=0.48 pbc="T T T"
Sc 5.118 2.955 0.372
Sc 5.118 2.955 7.683
Sr 3.412 1.970 4.552
Be 1.706 0.985 2.202


[10]
8
Lattice="-1.069 -0.202 4.133 0.559 -4.236 -0.063 6.420 3.009 -0.401" Properties=species:S:1:pos:R:3 comment="Ga2PH, relaxed, DFT GGA-PBEsol" dos_at_fermi_per_ev_cell=0.59 pbc="T T T"
P 3.362 -1.723 0.785
P 0.000 0.000 0.000
Ga 1.607 -3.047 1.728
Ga 0.966 -0.997 3.158
Ga 4.797 1.360 0.203
Ga 4.451 -0.175 2.248
H 2.548 0.294 2.883
H -0.255 -2.219 2.035


[11]
4
Lattice="-3.097 -0.747 -0.157 0.577 -3.075 3.249 0.331 5.093 1.631" Properties=species:S:1:pos:R:3 comment="YRu2Se, relaxed, DFT GGA-PBEsol" dos_at_fermi_per_ev_cell=4.15 e_form_raw_ev_per_atom=-0.11 pbc="T T T"
Ru -0.031 0.105 0.105
Ru -2.039 1.307 1.599
Se -0.887 3.038 3.033
Y -0.162 0.004 3.163


[12]
66
Lattice="-7.897 -0.817 3.214 -1.093 -1.310 8.393 -3.942 21.688 7.241" Properties=species:S:1:pos:R:3 comment="Ca14Si19, relaxed, DFT GGA-PBEsol" dos_at_fermi_per_ev_cell=21.40 e_form_raw_ev_per_atom=-0.52 pbc="T T T"
Ca 0.000 0.000 0.000
Ca -6.466 9.781 9.424
Ca -9.145 1.530 12.158
Ca -6.312 6.124 8.874
Ca -3.788 18.031 6.691
Ca -6.621 13.437 9.975
Ca -9.303 5.272 12.721
Ca -6.154 2.381 8.310
Ca -3.630 14.289 6.127
Ca -6.778 17.180 10.538
Ca -8.008 14.548 15.424
Ca -9.428 14.996 12.050
Ca -11.662 14.468 14.935
Ca -4.924 5.013 3.425
Ca -3.505 4.565 6.798
Ca -1.270 5.093 3.913
Ca -9.227 10.764 11.474
Ca -3.545 11.069 11.037
Ca -6.800 11.633 6.383
Ca -8.214 18.781 16.002
Ca -11.776 18.694 15.577
Ca -9.642 19.212 12.738
Ca -3.705 8.798 7.374
Ca -9.387 8.492 7.812
Ca -6.132 7.929 12.466
Ca -4.718 0.780 2.846
Ca -1.156 0.867 3.272
Ca -3.290 0.349 6.110
Si -9.425 8.164 13.157
Si -6.032 -0.511 7.875
Si -3.508 11.397 5.692
Si -6.901 20.072 10.974
Si -9.611 12.584 13.822
Si -9.787 16.758 14.451
Si -3.321 6.977 5.026
Si -3.145 2.803 4.398
Si -4.635 15.693 8.766
Si -9.061 15.435 9.237
Si -6.412 15.011 12.798
Si -8.297 3.868 10.082
Si -3.871 4.126 9.611
Si -6.521 4.550 6.050
Si -8.551 7.832 10.814
Si -3.881 8.119 10.220
Si -6.762 8.555 6.511
Si -3.858 0.137 8.977
Si -8.023 -0.098 9.366
Si -6.303 0.542 5.599
Si -4.381 11.729 8.034
Si -9.051 11.443 8.629
Si -6.171 11.006 12.338
Si -9.075 19.424 9.871
Si -4.909 19.659 9.482
Si -6.629 19.019 13.249
Si -5.336 2.648 5.264
Si -1.292 2.729 5.860
Si -2.815 3.231 2.099
Si -5.482 6.682 5.931
Si -4.142 5.961 11.092
Si -9.321 5.962 9.632
Si -7.596 16.913 13.584
Si -11.640 16.832 12.988
Si -10.118 16.330 16.749
Si -7.450 12.879 12.917
Si -8.790 13.600 7.756
Si -3.612 13.599 9.216


Number 1: spin magnetization 0.00 μB per formula unit, V 15.90 Å³/atom, electronic total energy -3.0950 eV/atom. Number 2: spin magnetization 0.00 μB per formula unit, V 12.59 Å³/atom, electronic total energy -7.5249 eV/atom. Number 3: spin magnetization 0.00 μB per formula unit, V 19.39 Å³/atom, electronic total energy -5.5732 eV/atom. Number 4: spin magnetization 0.00 μB per formula unit, V 18.40 Å³/atom, electronic total energy -5.5352 eV/atom. Number 5: spin magnetization 0.00 μB per formula unit, V 21.24 Å³/atom, electronic total energy -5.3974 eV/atom. Number 6: spin magnetization 0.43 μB per formula unit, V 14.46 Å³/atom, electronic total energy -4.7343 eV/atom. Number 7: spin magnetization 0.00 μB per formula unit, V 27.05 Å³/atom, electronic total energy -3.5924 eV/atom. Number 8: spin magnetization 1.01 μB per formula unit, V 26.07 Å³/atom, electronic total energy -4.5801 eV/atom. Number 9: spin magnetization 0.31 μB per formula unit, V 24.88 Å³/atom, electronic total energy -4.2850 eV/atom. Number 10: spin magnetization 0.00 μB per formula unit, V 14.67 Å³/atom, electronic total energy -3.8525 eV/atom. Number 11: spin magnetization 0.00 μB per formula unit, V 16.52 Å³/atom, electronic total energy -7.8676 eV/atom. Number 12: spin magnetization 0.00 μB per formula unit, V 21.82 Å³/atom, electronic total energy -4.7288 eV/atom.